# 1
Here is a relaxed structure of Mg3AsRu from the Alexandria database. Energies are from GGA-PBE.

Computed properties:
Relative energy among the computed polymorphs = 0 meV per atom
Space group = Pm-3m, No. 221
Theoretical density = 3.5 g/cm3
Total moment = 0.96 μB/f.u.
DOS at the Fermi energy = 0.628 states/eV per atom
Calculated formation energy = 501 meV per atom

```
5
Lattice="-2.113 4.115 1.583 -0.698 -2.045 4.385 4.353 1.669 1.472" Properties=species:S:1:pos:R:3 pbc="T T T"
Mg -1.056 2.057 0.791
Mg 2.177 0.835 0.736
Mg -0.349 -1.023 2.193
Ru 0.000 0.000 0.000
As 0.771 1.869 3.720
```

---

# 2
Here is a relaxed structure of Cd2CuS from the Alexandria database. Energies are from GGA-PBE.

Computed properties:
Space group = I-42d, No. 122
Theoretical density = 5.9 g/cm3
Formation energy from raw total energies = 0.14 eV/atom
Total moment = 0.00 μB/f.u.
DOS at the Fermi energy = 0.339 states/eV per atom

```
8
Lattice="-0.122 5.378 4.391 -2.709 -4.081 4.922 2.016 -0.224 5.821" Properties=species:S:1:pos:R:3 pbc="T T T"
Cu 0.000 0.000 0.000
Cu 0.239 2.901 7.434
S -1.415 0.649 4.657
S -1.054 -1.828 7.700
Cd 0.436 0.297 7.884
Cd -1.205 -1.907 5.103
Cd 0.090 2.767 4.792
Cd -0.951 0.988 12.490
```

---

# 3
Here is a relaxed structure of KRbBi3 from the Alexandria database. Energies are from GGA-PBE.

Computed properties:
Relative energy among the computed polymorphs = 179 meV per atom
Space group = Pm-3m, No. 221
Theoretical density = 4.9 g/cm3
Total moment = 0.00 μB/f.u.
DOS at the Fermi energy = 2.677 states/eV per atom
Calculated formation energy = 717 meV per atom

```
5
Lattice="-3.380 5.237 -1.094 -2.876 -0.687 5.596 4.512 3.486 2.746" Properties=species:S:1:pos:R:3 pbc="T T T"
Bi -1.438 -0.343 2.798
Bi -1.690 2.619 -0.547
Bi 2.256 1.743 1.373
K -0.872 4.018 3.624
Rb 0.000 0.000 0.000
```

---

# 4
Here is a relaxed structure of NpScBi from the Alexandria database. Energies are from GGA-PBE.

Computed properties:
Space group = P4/nmm, No. 129
Theoretical density = 10.7 g/cm3
Total moment = 4.31 μB/f.u.
DOS at the Fermi energy = 1.792 states/eV per atom
Calculated formation energy = -217 meV per atom

```
6
Lattice="4.178 0.022 0.000 -0.022 4.178 0.000 0.000 0.000 8.701" Properties=species:S:1:pos:R:3 pbc="T T T"
Bi 3.487 1.424 6.944
Bi 1.387 3.502 1.757
Np 1.398 1.413 4.351
Np 3.476 3.513 4.351
Sc 3.487 1.424 1.263
Sc 1.387 3.502 7.439
```

---

# 5
Here is a relaxed structure of AlTe2WI from the Alexandria database. Energies are from GGA-PBE.

Computed properties:
Relative energy among the computed polymorphs = 0 meV per atom
Space group = P4/mmm, No. 123
Theoretical density = 6.0 g/cm3
Formation energy from raw total energies = 0.64 eV/atom
Total moment = 0.76 μB/f.u.
DOS at the Fermi energy = 1.081 states/eV per atom

```
5
Lattice="-3.239 3.963 1.269 -2.785 -3.260 3.070 3.441 1.353 4.558" Properties=species:S:1:pos:R:3 pbc="T T T"
Te -1.620 1.982 0.635
Te -1.393 -1.630 1.535
Al -1.292 1.028 4.449
W 0.000 0.000 0.000
I 1.720 0.676 2.279
```

---

# 6
Here is a relaxed structure of TcH2W from the Alexandria database. Energies are from GGA-PBE.

Computed properties:
Relative energy among the computed polymorphs = 632 meV per atom
Space group = Fm-3m, No. 225
Theoretical density = 12.6 g/cm3
Total moment = 0.00 μB/f.u.
DOS at the Fermi energy = 0.487 states/eV per atom

```
4
Lattice="0.000 2.657 2.657 2.657 0.000 2.657 2.657 2.657 0.000" Properties=species:S:1:pos:R:3 pbc="T T T"
W 2.657 2.657 2.657
H 1.328 1.328 1.328
H 3.985 3.985 3.985
Tc 0.000 0.000 0.000
```

---

# 7
Here is a relaxed structure of ZrScSN from the Alexandria database. Energies are from GGA-PBE.

Computed properties:
Space group = R3m, No. 160
Theoretical density = 5.1 g/cm3
Formation energy from raw total energies = -1.73 eV/atom
Total moment = 0.00 μB/f.u.
DOS at the Fermi energy = 0.110 states/eV per atom

```
4
Lattice="-2.343 2.261 0.837 0.339 -0.962 -3.203 -2.544 -5.670 1.434" Properties=species:S:1:pos:R:3 pbc="T T T"
Sc -2.831 -2.796 0.900
S -3.068 -0.251 0.110
Zr -0.086 -1.058 -2.859
N -2.738 -4.771 -0.261
```

---

# 8
Here is a relaxed structure of PmNd2Si2Ni2 from the Alexandria database. Energies are from GGA-PBE.

Computed properties:
Space group = R-3m, No. 166
Theoretical density = 6.2 g/cm3
Formation energy from raw total energies = -0.61 eV/atom
Total moment = 0.71 μB/f.u.
DOS at the Fermi energy = 0.953 states/eV per atom

```
7
Lattice="4.062 0.000 0.000 2.031 3.518 0.000 2.031 1.173 11.435" Properties=species:S:1:pos:R:3 pbc="T T T"
Ni 4.062 2.345 2.064
Ni 4.062 2.345 9.371
Si 2.031 1.173 2.057
Si 6.093 3.518 9.378
Nd 6.093 3.518 3.949
Nd 2.031 1.173 7.485
Pm 0.000 0.000 0.000
```

---

# 9
Here is a relaxed structure of Cs2Tb2UTe6 from the Alexandria database. Energies are from GGA-PBE.

Computed properties:
Space group = C2/m, No. 12
Theoretical density = 5.5 g/cm3
Formation energy from raw total energies = -1.20 eV/atom
Total moment = 2.00 μB/f.u.
DOS at the Fermi energy = 0.683 states/eV per atom

```
11
Lattice="7.736 -0.022 0.062 -3.843 6.714 0.062 -1.391 -2.392 9.138" Properties=species:S:1:pos:R:3 pbc="T T T"
Tb 3.191 1.021 4.631
Tb -0.689 3.279 4.631
Cs 5.791 1.109 0.062
Cs -1.898 5.582 0.062
Te 4.464 3.304 2.939
Te 0.605 1.040 2.890
Te 1.897 3.260 6.372
Te 1.836 -1.214 6.323
Te 0.666 5.514 2.939
Te -1.962 0.996 6.323
U -0.696 -1.196 4.569
```

---

# 10
Here is a relaxed structure of B5PH4Cl from the Alexandria database. Energies are from GGA-PBE.

Computed properties:
Space group = Pbca, No. 61
E_tot = -5.168 eV per atom
Theoretical density = 1.3 g/cm3
Total moment = 0.00 μB/f.u.
DOS at the Fermi energy = 0.000 states/eV per atom

```
176
Lattice="-5.086 10.873 -4.266 -12.583 -5.121 1.949 -0.053 5.144 13.172" Properties=species:S:1:pos:R:3 pbc="T T T"
P -10.364 8.590 8.652
P -11.677 -0.896 4.835
P -13.655 0.194 4.327
P -6.131 5.286 8.560
P -12.897 1.087 11.571
P -5.380 1.165 2.582
P -4.826 9.808 -0.717
P -6.600 3.199 9.447
P -7.359 2.306 2.203
P -11.122 7.696 1.407
P -5.295 7.671 0.041
P -4.068 10.702 6.528
P -11.592 5.610 2.295
P -6.046 11.792 6.019
P -12.343 9.731 8.273
P -12.428 3.224 10.813
H -8.514 3.307 5.674
H -14.048 8.340 4.400
H -10.515 4.652 12.007
H -8.003 10.458 4.788
H -12.520 9.819 2.238
H -10.088 4.423 -0.444
H -7.240 5.999 6.234
H -13.517 5.364 4.127
H -10.483 4.896 4.620
H -13.551 5.322 12.032
H -2.200 3.696 -0.862
H -5.027 -1.246 1.482
H -12.665 2.869 -1.049
H -1.960 5.879 11.702
H -7.633 3.939 13.021
H -15.763 5.016 -0.848
H -5.747 11.133 9.395
H -7.635 6.473 11.299
H -16.404 6.568 4.369
H -8.233 1.543 8.129
H -11.324 2.977 6.505
H -4.206 5.532 6.727
H -5.121 13.968 8.382
H -6.385 12.819 3.575
H -3.675 2.555 6.455
H -9.209 7.588 5.180
H -9.247 1.196 0.670
H -2.974 5.533 4.243
H -14.749 5.363 6.611
H -12.696 12.141 9.372
H -9.941 -2.494 1.056
H -15.523 7.199 11.716
H -14.312 9.579 10.068
H -5.701 3.936 4.615
H -7.782 13.389 9.798
H -11.280 0.790 8.652
H -12.602 -3.072 2.472
H -5.005 4.963 11.807
H -7.631 3.753 -0.029
H -11.976 -0.237 1.460
H -11.511 0.093 13.630
H -8.475 9.699 10.184
H -4.172 5.574 -1.177
H -12.022 6.959 6.240
H -3.411 1.317 0.786
H -9.720 0.438 6.066
H -5.203 1.076 8.617
H -10.090 6.957 -2.167
H -5.058 8.026 11.903
H -6.399 7.918 4.349
H -3.783 8.126 5.870
H -13.909 2.237 7.984
H -13.939 2.770 4.985
H -3.813 8.658 2.870
H -7.208 6.243 -1.153
H -6.212 10.802 -2.776
H -11.338 -1.923 7.279
H -6.328 1.163 5.787
H -12.718 5.933 -0.952
H -1.319 4.328 6.485
H -11.395 9.732 5.067
H -6.443 10.106 2.202
H -9.489 9.353 2.725
H -10.091 7.142 10.883
Cl -6.645 8.921 7.516
Cl -8.352 6.157 2.292
Cl -16.048 8.493 7.069
Cl -14.353 7.113 1.318
Cl -12.939 6.603 9.113
Cl -9.763 11.687 7.717
Cl -14.637 2.962 1.644
Cl -7.960 -0.792 3.137
Cl -3.369 3.782 9.536
Cl -1.675 2.402 3.785
Cl -9.371 4.739 8.562
Cl -11.078 1.974 3.338
Cl -8.059 9.431 -0.279
Cl -4.784 4.292 1.741
Cl -3.086 7.933 9.210
Cl -9.663 1.465 11.133
B -14.113 2.769 12.029
B -10.911 0.449 6.128
B -12.178 8.124 9.655
B -13.130 4.267 12.394
B -7.099 2.721 0.243
B -4.601 1.280 0.724
B -11.925 1.173 13.340
B -5.556 -0.235 1.137
B -5.855 11.843 4.010
B -4.315 9.067 5.366
B -10.314 8.552 3.047
B -6.674 8.213 -2.818
B -12.167 8.699 11.319
B -16.587 4.207 -0.548
B -6.387 7.024 -1.526
B -12.990 7.942 4.021
B -3.609 8.126 -1.174
B -8.054 1.208 0.658
B -7.103 6.432 12.366
B -11.802 7.144 5.081
B -6.819 4.979 6.686
B -5.534 12.055 10.123
B -4.733 2.953 6.834
B -13.408 1.828 5.488
B -9.914 6.773 2.892
B -10.620 4.463 -1.512
B -13.121 9.616 10.130
B -12.166 11.130 9.718
B -9.668 9.687 10.196
B -5.545 2.771 1.199
B -11.048 2.683 13.673
B -1.136 6.688 11.402
B -5.177 13.687 9.541
B -6.642 8.796 -1.158
B -11.867 -0.947 6.845
B -4.353 9.410 3.624
B -7.058 -0.188 0.189
B -12.132 5.335 -1.805
B -6.812 10.447 4.726
B -5.876 9.674 6.093
B -12.944 7.246 2.405
B -5.921 3.751 5.774
B -4.347 11.170 3.355
B -4.779 3.649 8.450
B -12.545 -2.792 1.313
B -13.376 -0.275 7.499
B -5.555 2.197 -0.464
B -11.858 0.650 7.616
B -4.593 6.629 -1.540
B -6.278 2.155 6.450
B -7.809 4.122 7.962
B -5.865 10.245 3.238
B -11.336 3.871 12.381
B -12.107 8.829 2.760
B -15.942 5.343 6.602
B -11.847 1.221 4.762
B -10.624 8.174 10.612
B -7.557 3.392 6.380
B -5.591 5.560 12.659
B -13.460 -1.142 5.968
B -3.849 7.590 -2.835
B -10.166 7.503 4.475
B -7.156 0.211 1.902
B -5.616 2.066 8.095
B -5.798 9.722 -2.486
B -12.188 -1.159 0.731
B -11.871 1.926 6.374
B -1.781 5.553 4.252
B -5.852 8.970 4.480
B -4.262 12.037 4.886
B -13.874 3.305 13.689
B -12.697 6.194 3.878
B -10.664 11.083 10.665
B -13.370 1.485 7.230
B -11.444 8.740 4.405
B -10.904 5.917 4.168
B -5.026 4.702 6.976
B -10.567 10.684 8.952
B -7.409 2.344 7.808
B -11.081 2.099 12.012
```

---

# 11
Here is a relaxed structure of Cd6AgHg8 from the Alexandria database. Energies are from GGA-PBE.

Computed properties:
Space group = P-3, No. 147
Theoretical density = 9.7 g/cm3
Total moment = 0.00 μB/f.u.
DOS at the Fermi energy = 0.316 states/eV per atom
Calculated formation energy = 48 meV per atom

```
15
Lattice="-8.820 0.843 0.168 -0.483 -5.900 4.260 0.689 6.614 2.995" Properties=species:S:1:pos:R:3 pbc="T T T"
Cd -5.345 0.088 2.725
Cd -5.619 -2.915 3.415
Cd -2.995 4.472 4.008
Cd -5.376 -0.823 5.681
Cd -3.238 2.381 1.742
Cd -3.269 1.470 4.698
Hg -0.503 4.403 2.322
Hg -7.997 -1.000 1.808
Hg -0.861 0.643 2.368
Hg -0.617 2.557 5.615
Hg -8.111 -2.846 5.101
Hg -6.023 3.047 3.537
Hg -2.591 -1.490 3.886
Hg -7.752 0.914 5.055
Ag -4.410 0.422 0.084
```

---

# 12
Here is a relaxed structure of MnPRu2 from the Alexandria database. Energies are from GGA-PBE.

Computed properties:
Relative energy among the computed polymorphs = 15 meV per atom
Space group = Imm2, No. 44
Theoretical density = 9.6 g/cm3
Total moment = 0.00 μB/f.u.
DOS at the Fermi energy = 0.859 states/eV per atom
Calculated formation energy = -212 meV per atom

```
4
Lattice="1.395 4.760 -0.008 -1.395 4.760 -0.008 0.000 1.834 3.747" Properties=species:S:1:pos:R:3 pbc="T T T"
Mn 0.000 5.952 1.729
Ru 0.000 8.533 2.788
Ru 0.000 9.273 0.103
P 0.000 2.790 0.957
```